(1)
This record from Alexandria describes an optimized crystal structure of Al2InTe4. The functional is PBE-GGA.

a b c (Å): 6.0326 6.0326 6.9920
angles (deg): 90.00 90.00 90.00
Closest atoms and distances in Å follow each position.
Space group P-42m (No. 111)
Asymmetric unit:
Al: 0.0000 0.5000 0.0000 [2 per cell]  4 Te 2.68
In: 0.0000 0.0000 0.5000 [1 per cell]  4 Te 3.02
Te: 0.2755 0.2755 0.7711 [4 per cell]  2 Al 2.68

Calculated values
E_form (uncorrected): -325 meV/atom
DFT total energy: -3.581 eV/atom
Excess energy over the best structure of this formula in the dataset: 0.000 eV/atom
Density: 4.432 g cm⁻³

---

(2)
This record from Alexandria describes an optimized crystal structure of ScZn3Co. The functional is PBE-GGA.

a b c (Å): 4.7986 5.1396 6.7027
angles (deg): 90.00 110.37 90.00
Closest atoms and distances in Å follow each position.
Space group P2_1/m (No. 11)
Asymmetric unit:
Sc: 0.0894 0.2500 0.3944 [2 per cell]  4 Co 2.54-2.82
Zn: 0.0489 0.2500 0.8782 [2 per cell]  1 Co 2.45, 4 Zn 2.70-2.73
Zn: 0.4773 0.0002 0.1913 [4 per cell]  2 Co 2.48-2.53, 5 Zn 2.57-2.73
Co: 0.3449 0.7500 0.4718 [2 per cell]  5 Zn 2.45-2.53, 2 Sc 2.54-2.55

Calculated values
DFT total energy: -3.684 eV/atom
Excess energy over the best structure of this formula in the dataset: 0.000 eV/atom
ΔH_f (0 K): -0.23 eV per atom
Density: 6.432 g cm⁻³

---

(3)
This record from Alexandria describes an optimized crystal structure of Pr2SmCd. The functional is PBE-GGA.

a b c (Å): 3.5705 3.5705 37.7110
angles (deg): 90.00 90.00 120.00
Closest atoms and distances in Å follow each position.
Space group R-3m (No. 166, hexagonal axes)
Asymmetric unit:
Pr: 0.0000 0.0000 0.0884 [6 per cell]  1 Cd 3.33, 6 Pr 3.57, 3 Sm 3.60
Sm: 0.0000 0.0000 0.5000 [3 per cell]  6 Sm 3.57, 6 Pr 3.60
Cd: 0.0000 0.0000 0.0000 [3 per cell]  2 Pr 3.33, 6 Cd 3.57

Calculated values
DFT total energy: -3.649 eV/atom
Excess energy over the best structure of this formula in the dataset: 0.295 eV/atom
ΔH_f (0 K): 0.15 eV per atom
Density: 6.516 g cm⁻³

---

(4)
This record from Alexandria describes an optimized crystal structure of ZrFeOs. The functional is PBE-GGA.

a b c (Å): 3.2470 13.4382 4.4243
angles (deg): 90.00 90.00 90.00
Closest atoms and distances in Å follow each position.
Space group Cmcm (No. 63)
Asymmetric unit:
Zr: 0.0000 0.0900 0.2500 [4 per cell]  6 Os 2.74-2.89, 4 Fe 2.77-3.02
Fe: 0.0000 0.2428 0.7500 [4 per cell]  2 Os 2.64, 4 Fe 2.75, 2 Zr 2.77
Os: 0.0000 0.4121 0.2500 [4 per cell]  2 Fe 2.64, 6 Zr 2.74-2.89

Calculated values
DFT total energy: -9.552 eV/atom
Excess energy over the best structure of this formula in the dataset: 0.207 eV/atom
ΔH_f (0 K): -0.14 eV per atom
Density: 11.605 g cm⁻³

---

(5)
This record from Alexandria describes an optimized crystal structure of CaEuScIn. The functional is PBE-GGA.

a b c (Å): 7.7580 7.7580 7.7580
angles (deg): 90.00 90.00 90.00
Closest atoms and distances in Å follow each position.
Space group F-43m (No. 216)
Asymmetric unit:
Ca: 0.0000 0.0000 0.0000 [4 per cell]  4 Sc 3.36, 4 Eu 3.36
Eu: 0.2500 0.2500 0.7500 [4 per cell]  4 In 3.36, 4 Ca 3.36
Sc: 0.2500 0.2500 0.2500 [4 per cell]  4 In 3.36, 4 Ca 3.36
In: 0.0000 0.0000 0.5000 [4 per cell]  4 Eu 3.36, 4 Sc 3.36

Calculated values
DFT total energy: -5.446 eV/atom
ΔH_f (0 K): -0.11 eV per atom
Density: 5.005 g cm⁻³

---

(6)
This record from Alexandria describes an optimized crystal structure of Li6P2Pt. The functional is PBE-GGA.

a b c (Å): 6.4087 6.4087 8.5802
angles (deg): 90.00 90.00 90.00
Closest atoms and distances in Å follow each position.
Space group P4_2/mnm (No. 136)
Asymmetric unit:
Li: 0.1891 0.1891 0.0000 [4 per cell]  2 P 2.56, 1 Pt 2.82, 2 Li 2.82
Li: 0.2420 0.2420 0.3243 [8 per cell]  2 P 2.36-2.37
P: 0.0000 0.0000 0.2222 [4 per cell]  6 Li 2.36-2.56, 1 Pt 2.38
Pt: 0.0000 0.0000 0.5000 [2 per cell]  2 P 2.38, 4 Li 2.66

Calculated values
DFT total energy: -3.689 eV/atom
Excess energy over the best structure of this formula in the dataset: 0.087 eV/atom
ΔH_f (0 K): -0.54 eV per atom
Density: 2.815 g cm⁻³

---

(7)
This record from Alexandria describes an optimized crystal structure of Mn2IrPd. The functional is PBE-GGA.

a b c (Å): 4.3700 4.3700 3.0698
angles (deg): 90.00 90.00 90.00
Closest atoms and distances in Å follow each position.
Space group P4/mmm (No. 123)
Asymmetric unit:
Mn: 0.0000 0.5000 0.0000 [2 per cell]  4 Ir 2.67, 4 Pd 2.67
Ir: 0.0000 0.0000 0.5000 [1 per cell]  8 Mn 2.67
Pd: 0.5000 0.5000 0.5000 [1 per cell]  8 Mn 2.67

Calculated values
DFT total energy: -8.234 eV/atom
ΔH_f (0 K): -0.14 eV per atom
Density: 11.571 g cm⁻³

---

(8)
This record from Alexandria describes an optimized crystal structure of AcPm3Sn4. The functional is PBE-GGA.

a b c (Å): 12.9364 6.4859 6.4859
angles (deg): 90.00 90.00 90.00
Closest atoms and distances in Å follow each position.
Space group Pmn2_1 (No. 31)
Asymmetric unit:
Ac: 0.0000 0.2478 0.0000 [2 per cell]  6 Sn 3.24-3.36
Pm: 0.0000 0.7490 0.4980 [2 per cell]  6 Sn 3.11-3.25
Pm: 0.2500 0.2502 0.4982 [4 per cell]  6 Sn 3.23-3.25
Sn: 0.0000 0.2493 0.5000 [2 per cell]  4 Pm 3.23-3.24, 2 Ac 3.24
Sn: 0.0000 0.7478 0.9975 [2 per cell]  4 Pm 3.23-3.25, 2 Ac 3.24
Sn: 0.2406 0.7502 0.4980 [4 per cell]  5 Pm 3.11-3.25, 1 Ac 3.36

Calculated values
DFT total energy: -4.815 eV/atom
ΔH_f (0 K): -0.52 eV per atom
Density: 6.938 g cm⁻³

---

(9)
This record from Alexandria describes an optimized crystal structure of Sr6As2PCl. The functional is PBE-GGA.

a b c (Å): 7.3810 8.3433 13.1136
angles (deg): 90.00 122.27 90.00
Closest atoms and distances in Å follow each position.
Space group P2_1/c (No. 14)
Asymmetric unit:
Sr: 0.0818 0.0548 0.2425 [4 per cell]  1 P 2.94, 1 Cl 3.16, 2 As 3.22-3.23
Sr: 0.2480 0.6949 0.0809 [4 per cell]  1 P 2.98, 1 Cl 3.06, 2 As 3.25-3.26
Sr: 0.3991 0.1735 0.0773 [4 per cell]  1 P 2.93, 1 Cl 3.13, 2 As 3.19-3.24
As: 0.3073 0.1106 0.7507 [4 per cell]  6 Sr 3.19-3.26
P: 0.0000 0.0000 0.0000 [2 per cell]  6 Sr 2.93-2.98
Cl: 0.5000 0.0000 0.5000 [2 per cell]  6 Sr 3.06-3.16

Calculated values
E_form (uncorrected): -1138 meV/atom
DFT total energy: -3.803 eV/atom
Density: 3.609 g cm⁻³

---

(10)
This record from Alexandria describes an optimized crystal structure of Ta2AlTc3. The functional is PBE-GGA.

a b c (Å): 3.1792 3.1792 9.2595
angles (deg): 90.00 90.00 90.00
Closest atoms and distances in Å follow each position.
Space group P4/mmm (No. 123)
Asymmetric unit:
Ta: 0.0000 0.0000 0.1747 [2 per cell]  8 Tc 2.72-2.77, 1 Al 3.01
Al: 0.0000 0.0000 0.5000 [1 per cell]  8 Tc 2.69, 2 Ta 3.01
Tc: 0.5000 0.5000 0.0000 [1 per cell]  8 Ta 2.77
Tc: 0.5000 0.5000 0.3399 [2 per cell]  4 Al 2.69, 4 Ta 2.72, 1 Tc 2.97

Calculated values
DFT total energy: -10.187 eV/atom
ΔH_f (0 K): -0.43 eV per atom
Density: 12.116 g cm⁻³

---

(11)
This record from Alexandria describes an optimized crystal structure of Er4Tm5Pb. The functional is PBE-GGA.

a b c (Å): 16.9276 3.4909 10.8581
angles (deg): 90.00 97.23 90.00
Closest atoms and distances in Å follow each position.
Space group C2/m (No. 12)
Asymmetric unit:
Er: 0.0012 0.0000 0.2597 [4 per cell]  2 Pb 3.14, 3 Tm 3.31-3.38, 4 Er 3.45-3.49
Er: 0.1736 0.5000 0.2328 [4 per cell]  4 Er 3.45-3.49, 7 Tm 3.47-3.63
Tm: 0.0000 0.5000 0.0000 [2 per cell]  6 Er 3.31-3.63, 6 Tm 3.46-3.49
Tm: 0.1632 0.0000 0.5220 [4 per cell]  2 Pb 3.25, 4 Tm 3.49-3.50, 3 Er 3.59-3.62
Tm: 0.1680 0.0000 0.9420 [4 per cell]  4 Er 3.38-3.60, 6 Tm 3.38-3.49
Pb: 0.0000 0.5000 0.5000 [2 per cell]  4 Er 3.14, 4 Tm 3.25, 2 Pb 3.49

Calculated values
DFT total energy: -4.351 eV/atom
Excess energy over the best structure of this formula in the dataset: 0.000 eV/atom
ΔH_f (0 K): 0.08 eV per atom
Density: 8.979 g cm⁻³

---

(12)
This record from Alexandria describes an optimized crystal structure of KRbSe2Br. The functional is PBE-GGA.

a b c (Å): 6.1495 6.1495 6.1890
angles (deg): 90.00 90.00 90.00
Closest atoms and distances in Å follow each position.
Space group P4/mmm (No. 123)
Asymmetric unit:
K: 0.0000 0.0000 0.0000 [1 per cell]  4 Se 3.07, 2 Br 3.09
Rb: 0.5000 0.5000 0.5000 [1 per cell]  4 Br 4.35, 8 Se 4.36
Se: 0.0000 0.5000 0.0000 [2 per cell]  2 K 3.07
Br: 0.0000 0.0000 0.5000 [1 per cell]  2 K 3.09

Calculated values
E_form (uncorrected): -302 meV/atom
DFT total energy: -2.443 eV/atom
Excess energy over the best structure of this formula in the dataset: 0.000 eV/atom
Density: 2.571 g cm⁻³